(1)
Density functional theory data (PBE) for a relaxed structure of Mn2FeMo.

Values from the calculation:
- VASP energy (eV/atom) = -9.206

Geometry as CIF:
```
data_Mn2FeMo
_space_group_name_H-M_alt 'C m m m'
_space_group_IT_number 65
_space_group_name_Hall '-C 2 2'
_cell_length_a 5.281
_cell_length_b 7.297
_cell_length_c 2.627
_cell_angle_alpha 90.00
_cell_angle_beta 90.00
_cell_angle_gamma 90.00
loop_
_atom_site_label
_atom_site_type_symbol
_atom_site_fract_x
_atom_site_fract_y
_atom_site_fract_z
Mn1 Mn 0.250 0.250 0.000
Fe1 Fe 0.000 0.000 0.500
Mo1 Mo 0.000 0.500 0.500
```



(2)
Density functional theory data (PBE) for a relaxed structure of Mn2FeMo.

Values from the calculation:
- VASP energy (eV/atom) = -9.258

Geometry as CIF:
```
data_Mn2FeMo
_space_group_name_H-M_alt 'C 1 2/m 1'
_space_group_IT_number 12
_cell_length_a 5.102
_cell_length_b 8.259
_cell_length_c 2.564
_cell_angle_alpha 90.00
_cell_angle_beta 111.88
_cell_angle_gamma 90.00
loop_
_space_group_symop_operation_xyz
'x,y,z'
'-x,-y,-z'
'-x,y,-z'
'x,-y,z'
'x+1/2,y+1/2,z'
'-x+1/2,-y+1/2,-z'
'-x+1/2,y+1/2,-z'
'x+1/2,-y+1/2,z'
loop_
_atom_site_label
_atom_site_type_symbol
_atom_site_fract_x
_atom_site_fract_y
_atom_site_fract_z
Mn1 Mn 0.250 0.250 0.000
Fe1 Fe 0.000 0.000 0.500
Mo1 Mo 0.000 0.500 0.500
```



(3)
Density functional theory data (PBE) for a relaxed structure of Mn2FeMo.

Values from the calculation:
- VASP energy (eV/atom) = -9.296

Geometry as CIF:
```
data_Mn2FeMo
_space_group_name_H-M_alt 'I m m 2'
_space_group_IT_number 44
_cell_length_a 3.065
_cell_length_b 4.006
_cell_length_c 8.166
_cell_angle_alpha 90.00
_cell_angle_beta 90.00
_cell_angle_gamma 90.00
loop_
_space_group_symop_operation_xyz
'x,y,z'
'-x,-y,z'
'-x,y,z'
'x,-y,z'
'x+1/2,y+1/2,z+1/2'
'-x+1/2,-y+1/2,z+1/2'
'-x+1/2,y+1/2,z+1/2'
'x+1/2,-y+1/2,z+1/2'
loop_
_atom_site_label
_atom_site_type_symbol
_atom_site_fract_x
_atom_site_fract_y
_atom_site_fract_z
Mn1 Mn 0.000 0.000 0.000
Mn2 Mn 0.000 0.500 0.250
Fe1 Fe 0.000 0.500 0.744
Mo1 Mo 0.000 0.000 0.497
```



(4)
Density functional theory data (PBE) for a relaxed structure of MnFe2Mo.

Values from the calculation:
- VASP energy (eV/atom) = -9.120
- excess energy over the best structure of this formula in the dataset (kJ per mole of atoms) = 5.13

Geometry as CIF:
```
data_MnFe2Mo
_space_group_name_H-M_alt 'P 1 2/m 1'
_space_group_IT_number 10
_cell_length_a 2.565
_cell_length_b 4.118
_cell_length_c 4.876
_cell_angle_alpha 90.00
_cell_angle_beta 101.85
_cell_angle_gamma 90.00
loop_
_space_group_symop_operation_xyz
'x,y,z'
'-x,-y,-z'
'-x,y,-z'
'x,-y,z'
loop_
_atom_site_label
_atom_site_type_symbol
_atom_site_fract_x
_atom_site_fract_y
_atom_site_fract_z
Mn1 Mn 0.000 0.000 0.000
Fe1 Fe 0.250 0.500 0.761
Mo1 Mo 0.500 0.000 0.500
```



(5)
Density functional theory data (PBE) for a relaxed structure of Mn2FeMo.

Values from the calculation:
- VASP energy (eV/atom) = -9.308

Geometry as CIF:
```
data_Mn2FeMo
_space_group_name_H-M_alt 'P m m m'
_space_group_IT_number 47
_cell_length_a 3.052
_cell_length_b 4.002
_cell_length_c 4.074
_cell_angle_alpha 90.00
_cell_angle_beta 90.00
_cell_angle_gamma 90.00
loop_
_space_group_symop_operation_xyz
'x,y,z'
'-x,-y,-z'
'-x,-y,z'
'x,y,-z'
'x,-y,-z'
'-x,y,z'
'-x,y,-z'
'x,-y,z'
loop_
_atom_site_label
_atom_site_type_symbol
_atom_site_fract_x
_atom_site_fract_y
_atom_site_fract_z
Mn1 Mn 0.000 0.000 0.000
Mn2 Mn 0.500 0.000 0.500
Fe1 Fe 0.000 0.500 0.500
Mo1 Mo 0.500 0.500 0.000
```



(6)
Density functional theory data (PBE) for a relaxed structure of MnFeMo.

Values from the calculation:
- VASP energy (eV/atom) = -9.498
- excess energy over the best structure of this formula in the dataset (kJ per mole of atoms) = 2.21

Geometry as CIF:
```
data_MnFeMo
_space_group_name_H-M_alt 'I m m a'
_space_group_IT_number 74
_space_group_name_Hall '-I 2b 2'
_cell_length_a 4.672
_cell_length_b 4.728
_cell_length_c 6.690
_cell_angle_alpha 90.00
_cell_angle_beta 90.00
_cell_angle_gamma 90.00
loop_
_atom_site_label
_atom_site_type_symbol
_atom_site_fract_x
_atom_site_fract_y
_atom_site_fract_z
Mn1 Mn 0.250 0.250 0.250
Fe1 Fe 0.000 0.000 0.000
Mo1 Mo 0.000 0.250 0.626
```



(7)
Density functional theory data (PBE) for a relaxed structure of Mn2FeMo.

Values from the calculation:
- VASP energy (eV/atom) = -9.279

Geometry as CIF:
```
data_Mn2FeMo
_space_group_name_H-M_alt 'P 1 2/m 1'
_space_group_IT_number 10
_cell_length_a 2.557
_cell_length_b 4.106
_cell_length_c 4.822
_cell_angle_alpha 90.00
_cell_angle_beta 98.62
_cell_angle_gamma 90.00
loop_
_space_group_symop_operation_xyz
'x,y,z'
'-x,-y,-z'
'-x,y,-z'
'x,-y,z'
loop_
_atom_site_label
_atom_site_type_symbol
_atom_site_fract_x
_atom_site_fract_y
_atom_site_fract_z
Mn1 Mn 0.248 0.000 0.264
Fe1 Fe 0.000 0.500 0.500
Mo1 Mo 0.500 0.500 0.000
```



(8)
Density functional theory data (PBE) for a relaxed structure of MnFe2Mo.

Values from the calculation:
- VASP energy (eV/atom) = -8.598
- excess energy over the best structure of this formula in the dataset (kJ per mole of atoms) = 55.50

Geometry as CIF:
```
data_MnFe2Mo
_space_group_name_H-M_alt 'I -4 2 d'
_space_group_IT_number 122
_space_group_name_Hall 'I -4 2bw'
_cell_length_a 6.591
_cell_length_b 6.591
_cell_length_c 4.886
_cell_angle_alpha 90.00
_cell_angle_beta 90.00
_cell_angle_gamma 90.00
loop_
_atom_site_label
_atom_site_type_symbol
_atom_site_fract_x
_atom_site_fract_y
_atom_site_fract_z
Mn1 Mn 0.000 0.000 0.000
Fe1 Fe 0.229 0.250 0.125
Mo1 Mo 0.000 0.000 0.500
```



(9)
Density functional theory data (PBE) for a relaxed structure of Mn2Fe2Mo.

Values from the calculation:
- VASP energy (eV/atom) = -9.075
- excess energy over the best structure of this formula in the dataset (kJ per mole of atoms) = 1.06

Geometry as CIF:
```
data_Mn2Fe2Mo
_space_group_name_H-M_alt 'P 4/m b m'
_space_group_IT_number 127
_space_group_name_Hall '-P 4 2ab'
_cell_length_a 6.799
_cell_length_b 6.799
_cell_length_c 2.528
_cell_angle_alpha 90.00
_cell_angle_beta 90.00
_cell_angle_gamma 90.00
loop_
_atom_site_label
_atom_site_type_symbol
_atom_site_fract_x
_atom_site_fract_y
_atom_site_fract_z
Mn1 Mn 0.169 0.331 0.000
Fe1 Fe 0.124 0.624 0.500
Mo1 Mo 0.000 0.000 0.500
```



(10)
Density functional theory data (PBE) for a relaxed structure of MnFe2Mo.

Values from the calculation:
- VASP energy (eV/atom) = -9.107
- excess energy over the best structure of this formula in the dataset (kJ per mole of atoms) = 6.41

Geometry as CIF:
```
data_MnFe2Mo
_space_group_name_H-M_alt 'C 1 2/m 1'
_space_group_IT_number 12
_cell_length_a 5.010
_cell_length_b 8.299
_cell_length_c 2.572
_cell_angle_alpha 90.00
_cell_angle_beta 109.08
_cell_angle_gamma 90.00
loop_
_space_group_symop_operation_xyz
'x,y,z'
'-x,-y,-z'
'-x,y,-z'
'x,-y,z'
'x+1/2,y+1/2,z'
'-x+1/2,-y+1/2,-z'
'-x+1/2,y+1/2,-z'
'x+1/2,-y+1/2,z'
loop_
_atom_site_label
_atom_site_type_symbol
_atom_site_fract_x
_atom_site_fract_y
_atom_site_fract_z
Mn1 Mn 0.000 0.000 0.000
Fe1 Fe 0.250 0.250 0.500
Mo1 Mo 0.000 0.500 0.000
```



(11)
Density functional theory data (PBE) for a relaxed structure of MnFeMo.

Values from the calculation:
- VASP energy (eV/atom) = -8.906
- excess energy over the best structure of this formula in the dataset (kJ per mole of atoms) = 59.32

Geometry as CIF:
```
data_MnFeMo
_space_group_name_H-M_alt 'F -4 3 m'
_space_group_IT_number 216
_space_group_name_Hall 'F -4 2 3'
_cell_length_a 5.646
_cell_length_b 5.646
_cell_length_c 5.646
_cell_angle_alpha 90.00
_cell_angle_beta 90.00
_cell_angle_gamma 90.00
loop_
_atom_site_label
_atom_site_type_symbol
_atom_site_fract_x
_atom_site_fract_y
_atom_site_fract_z
Mn1 Mn 0.000 0.000 0.000
Fe1 Fe 0.250 0.250 0.750
Mo1 Mo 0.000 0.000 0.500
```



(12)
Density functional theory data (PBE) for a relaxed structure of MnFeMo.

Values from the calculation:
- VASP energy (eV/atom) = -9.366
- excess energy over the best structure of this formula in the dataset (kJ per mole of atoms) = 14.91

Geometry as CIF:
```
data_MnFeMo
_space_group_name_H-M_alt 'C m c m'
_space_group_IT_number 63
_space_group_name_Hall '-C 2c 2'
_cell_length_a 3.636
_cell_length_b 11.564
_cell_length_c 3.615
_cell_angle_alpha 90.00
_cell_angle_beta 90.00
_cell_angle_gamma 90.00
loop_
_atom_site_label
_atom_site_type_symbol
_atom_site_fract_x
_atom_site_fract_y
_atom_site_fract_z
Mn1 Mn 0.000 0.090 0.250
Fe1 Fe 0.000 0.252 0.750
Mo1 Mo 0.000 0.408 0.250
```



Record-wise DOS at the Fermi energy values, in states/eV/f.u.: 4.95 4.04 4.49 4.23 2.73 3.08 3.93 4.87 7.08 3.18 3.07 2.83